A geometry-optimized La4HgPd structure, computed with PBE.

Structure (POSCAR):
```
La4HgPd
1.0
-6.5647 -0.7678 -7.7181
-3.3888 -9.1307 -2.8984
-9.6500 -2.6381 1.7812
La Pd Hg
16 4 4
Cartesian
-7.7718 -2.8190 -6.4873 La
-5.7803 -8.0632 -3.4650 La
-15.9582 -11.5360 -5.3463 La
-9.1781 -8.7412 -4.7021 La
-10.4879 -5.2923 -6.6897 La
-17.1901 -8.2921 -7.2158 La
-9.8969 -8.5446 -8.3048 La
-14.7615 -10.8105 -9.0310 La
-11.7603 -6.0637 -2.7722 La
-13.4470 -7.2688 -7.9067 La
-11.8316 -9.7175 -2.3481 La
-7.7806 -4.9757 -3.5068 La
-14.6437 -7.9943 -4.2220 La
-13.8231 -4.4733 -5.3704 La
-12.2151 -10.5127 -6.0372 La
-9.7065 -3.9919 -0.5305 La
-11.8854 -7.6008 -5.3568 Pd
-9.0943 -7.2743 -2.0753 Pd
-7.7826 -6.4791 -6.1141 Pd
-10.4446 -3.7187 -4.1245 Pd
-4.3922 -5.1516 -2.4408 Hg
-6.4986 -2.9672 -0.8664 Hg
-5.4606 -2.3380 -4.0624 Hg
-3.2520 -2.0797 -1.4657 Hg
```

Properties
- E: -4.653 eV/atom
- ΔH_f (0 K): -0.4524 eV per atom
- Density of states at the Fermi level: 0.879 states/eV/atom
- Crystal system: cubic

A geometry-optimized Mg2AsO5 structure, computed with PBE.

Structure (POSCAR):
```
Mg2AsO5
1.0
3.8359 0.0000 0.0000
-1.9179 5.0241 0.0000
0.0000 0.0000 9.7468
As O Mg
2 10 4
Cartesian
1.9179 3.2243 7.3101 As
0.0000 1.7998 2.4367 As
1.9179 2.0013 8.7214 O
1.9179 4.4719 6.0495 O
1.9179 4.4719 8.5707 O
0.0000 2.7927 7.3101 O
1.9179 2.2314 2.4367 O
0.0000 0.5522 3.6973 O
0.0000 0.5522 1.1761 O
0.0000 3.0228 3.8480 O
0.0000 3.0228 1.0254 O
1.9179 2.0013 5.8988 O
1.9179 3.6207 4.1664 Mg
0.0000 1.4034 9.0398 Mg
0.0000 1.4034 5.5804 Mg
1.9179 3.6207 0.7070 Mg
```

Properties
- E: -5.846 eV/atom
- Density of states at the Fermi level: 0.586 states/eV/atom
- Crystal system: orthorhombic